A geometry-optimized HoSc4Hg5 structure, computed with GGA-PBE.

Cell: 3.5575 3.5575 17.8144 Å, 90.00 90.00 90.00°
Element x y z (fractional)
Ho (0.0000, 0.0000, 0.0000)
Sc (0.0000, 0.0000, 0.2074)
Hg (0.5000, 0.5000, 0.6952)
Hg (0.5000, 0.5000, 0.3048)
Hg (0.5000, 0.5000, 0.8892)
Hg (0.5000, 0.5000, 0.5000)
Sc (0.0000, 0.0000, 0.7926)
Sc (0.0000, 0.0000, 0.4026)
Sc (0.0000, 0.0000, 0.5974)
Hg (0.5000, 0.5000, 0.1108)

Properties
The calculation puts the formation energy at -41.93 kJ per mole of atoms. The calculation puts the energy at -35.8 eV per formula unit.